The following is a DFT calculation (SCAN) of a crystal of InMo2Rh relaxed with PBEsol.

Cell lengths 2.779, 2.779, 8.191 Å; angles 90.00, 90.00, 90.00 degrees
Positions (direct):
In 0.500 0.500 0.500
Mo 0.000 0.000 0.771
Mo 0.000 0.000 0.229
Rh 0.500 0.500 0.000

N(E_F) = 2.03 states/eV/f.u.
Theoretical density = 10.75 g cm⁻³
Energy of formation from the pure elements = 0.129 eV/atom